# Nd5ErTl6

Nd5ErTl6 after structural relaxation (PBE, Alexandria).

Summary:
The energy of formation from the pure elements is -0.3752 eV per atom. The calculation puts the total DFT energy (no corrections) at -3.925 eV per atom. The density is 10.00 Mg/m³.

The structure in CIF format:
```
data_Nd5ErTl6
_cell_length_a 9.492
_cell_length_b 16.494
_cell_length_c 5.497
_cell_angle_alpha 90.00
_cell_angle_beta 125.29
_cell_angle_gamma 90.00
_space_group_name_H-M_alt 'C 1 2/m 1'
_space_group_IT_number 12
_space_group_name_Hall '-C 2y'
loop_
_atom_site_label
_atom_site_fract_x
_atom_site_fract_y
_atom_site_fract_z
_atom_site_occupancy
Nd1 0.000 0.000 0.000 1
Nd2 0.000 0.165 0.500 1
Nd3 0.000 0.329 0.000 1
Er1 0.000 0.500 0.500 1
Tl1 0.238 0.500 0.239 1
Tl2 0.244 0.337 0.743 1
```

=====

# Sm3DyHo7

Sm3DyHo7 after structural relaxation (PBE, Alexandria).

Summary:
As for the energy above the lowest structure with this stoichiometry: 92 meV per atom. The energy of formation from the pure elements is 0.2728 eV per atom. The calculation puts the total DFT energy (no corrections) at -4.346 eV per atom. The density is 8.13 Mg/m³.

The structure in CIF format:
```
data_Sm3DyHo7
_cell_length_a 5.810
_cell_length_b 11.122
_cell_length_c 11.180
_cell_angle_alpha 90.00
_cell_angle_beta 90.00
_cell_angle_gamma 90.00
_space_group_name_H-M_alt 'I m m m'
_space_group_IT_number 71
_space_group_name_Hall '-I 2 2'
loop_
_atom_site_label
_atom_site_fract_x
_atom_site_fract_y
_atom_site_fract_z
_atom_site_occupancy
Sm1 0.000 0.000 0.000 1
Sm2 0.000 0.500 0.289 1
Dy1 0.000 0.000 0.500 1
Ho1 0.000 0.206 0.197 1
Ho2 0.000 0.294 0.500 1
Ho3 0.000 0.500 0.000 1
```

=====

# VCr2PdN

VCr2PdN after structural relaxation (PBE, Alexandria).

Summary:
The formation energy (no corrections) is -0.352 eV per atom. The calculation puts the total DFT energy (no corrections) at -8.729 eV per atom. The density is 7.72 Mg/m³.

The structure in CIF format:
```
data_VCr2PdN
_cell_length_a 3.884
_cell_length_b 3.884
_cell_length_c 3.924
_cell_angle_alpha 90.00
_cell_angle_beta 90.00
_cell_angle_gamma 90.00
_space_group_name_H-M_alt 'P 4/m m m'
_space_group_IT_number 123
_space_group_name_Hall '-P 4 2'
loop_
_atom_site_label
_atom_site_fract_x
_atom_site_fract_y
_atom_site_fract_z
_atom_site_occupancy
V1 0.000 0.000 0.000 1
Cr1 0.000 0.500 0.500 1
Pd1 0.500 0.500 0.000 1
N1 0.000 0.000 0.500 1
```